# MgIn2Si

MgIn2Si after structural relaxation (PBE, the Alexandria database).

Properties
- Energy above the lowest structure with this stoichiometry: 0.35 eV per formula unit

```
data_MgIn2Si
_chemical_formula_sum 'Mg1 In2 Si1'
_space_group_name_H-M_alt 'P 1 2/m 1'
_space_group_IT_number 10
_space_group_name_Hall '-P 2y'
_cell_length_a 2.999
_cell_length_b 4.903
_cell_length_c 6.129
_cell_angle_alpha 90.00
_cell_angle_beta 90.14
_cell_angle_gamma 90.00
loop_
_atom_site_label
_atom_site_type_symbol
_atom_site_fract_x
_atom_site_fract_y
_atom_site_fract_z
Mg1 Mg 0.000 0.000 0.000
In1 In 0.499 0.500 0.751
Si1 Si 0.500 0.000 0.500
```

=====

# SbOs2Br

SbOs2Br after structural relaxation (PBE, the Alexandria database).

Properties
- Energy above the lowest structure with this stoichiometry: 2.18 eV per formula unit

```
data_SbOs2Br
_chemical_formula_sum 'Sb3 Os6 Br3'
_space_group_name_H-M_alt 'R -3 m'
_space_group_IT_number 166
_space_group_name_Hall '-R 3 2"'
_cell_length_a 3.1443
_cell_length_b 3.1443
_cell_length_c 24.7773
_cell_angle_alpha 90.00
_cell_angle_beta 90.00
_cell_angle_gamma 120.00
loop_
_atom_site_label
_atom_site_type_symbol
_atom_site_fract_x
_atom_site_fract_y
_atom_site_fract_z
Sb1 Sb 0.0000 0.0000 0.0000
Os1 Os 0.0000 0.0000 0.2534
Br1 Br 0.0000 0.0000 0.5000
```

=====

# SrNp4Se8

SrNp4Se8 after structural relaxation (PBE, the Alexandria database).

```
data_SrNp4Se8
_chemical_formula_sum 'Sr2 Np8 Se16'
_space_group_name_H-M_alt 'C 1 2/m 1'
_space_group_IT_number 12
_space_group_name_Hall '-C 2y'
_cell_length_a 14.402
_cell_length_b 8.342
_cell_length_c 10.233
_cell_angle_alpha 90.00
_cell_angle_beta 133.72
_cell_angle_gamma 90.00
loop_
_atom_site_label
_atom_site_type_symbol
_atom_site_fract_x
_atom_site_fract_y
_atom_site_fract_z
Sr1 Sr 0.000 0.000 0.000
Np1 Np 0.000 0.254 0.500
Np2 Np 0.232 0.500 0.467
Se1 Se 0.007 0.000 0.696
Se2 Se 0.029 0.500 0.717
Se3 Se 0.229 0.234 0.289
```

=====

# TbTcB

TbTcB after structural relaxation (PBE, the Alexandria database).

Properties
- Formation enthalpy at 0 K: -201 meV per atom

```
data_TbTcB
_chemical_formula_sum 'Tb1 Tc1 B1'
_space_group_name_H-M_alt 'P -6 m 2'
_space_group_IT_number 187
_space_group_name_Hall 'P -6 2'
_cell_length_a 3.7391
_cell_length_b 3.7391
_cell_length_c 4.1410
_cell_angle_alpha 90.00
_cell_angle_beta 90.00
_cell_angle_gamma 120.00
loop_
_atom_site_label
_atom_site_type_symbol
_atom_site_fract_x
_atom_site_fract_y
_atom_site_fract_z
Tb1 Tb 0.0000 0.0000 0.0000
Tc1 Tc 0.6667 0.3333 0.5000
B1 B 0.3333 0.6667 0.5000
```

=====

# FeAg3Se

FeAg3Se after structural relaxation (PBE, the Alexandria database).

Properties
- Energy above the lowest structure with this stoichiometry: 0.00 eV per formula unit

```
data_FeAg3Se
_chemical_formula_sum 'Fe1 Ag3 Se1'
_space_group_name_H-M_alt 'P m -3 m'
_space_group_IT_number 221
_space_group_name_Hall '-P 4 2 3'
_cell_length_a 5.038
_cell_length_b 5.038
_cell_length_c 5.038
_cell_angle_alpha 90.00
_cell_angle_beta 90.00
_cell_angle_gamma 90.00
loop_
_atom_site_label
_atom_site_type_symbol
_atom_site_fract_x
_atom_site_fract_y
_atom_site_fract_z
Fe1 Fe 0.000 0.000 0.000
Ag1 Ag 0.000 0.500 0.500
Se1 Se 0.500 0.500 0.500
```

=====

# CuNiOs

CuNiOs after structural relaxation (PBE, the Alexandria database).

Properties
- Formation enthalpy at 0 K: 181 meV per atom
- Energy above the lowest structure with this stoichiometry: 0.11 eV per formula unit

```
data_CuNiOs
_chemical_formula_sum 'Cu4 Ni4 Os4'
_space_group_name_H-M_alt 'A m m 2'
_space_group_IT_number 38
_space_group_name_Hall 'A 2 -2'
_cell_length_a 4.317
_cell_length_b 7.786
_cell_length_c 4.474
_cell_angle_alpha 90.00
_cell_angle_beta 90.00
_cell_angle_gamma 90.00
loop_
_atom_site_label
_atom_site_type_symbol
_atom_site_fract_x
_atom_site_fract_y
_atom_site_fract_z
Cu1 Cu 0.000 0.165 0.000
Ni1 Ni 0.000 0.000 0.495
Ni2 Ni 0.500 0.000 0.837
Os1 Os 0.500 0.167 0.342
```

=====

# HfCrCo2C

HfCrCo2C after structural relaxation (PBE, the Alexandria database).

Properties
- Formation enthalpy at 0 K: -198 meV per atom
- Energy above the lowest structure with this stoichiometry: 0.00 eV per formula unit

```
data_HfCrCo2C
_chemical_formula_sum 'Hf1 Cr1 Co2 C1'
_space_group_name_H-M_alt 'P 4/m m m'
_space_group_IT_number 123
_space_group_name_Hall '-P 4 2'
_cell_length_a 3.844
_cell_length_b 3.844
_cell_length_c 3.938
_cell_angle_alpha 90.00
_cell_angle_beta 90.00
_cell_angle_gamma 90.00
loop_
_atom_site_label
_atom_site_type_symbol
_atom_site_fract_x
_atom_site_fract_y
_atom_site_fract_z
Hf1 Hf 0.000 0.000 0.000
Cr1 Cr 0.500 0.500 0.000
Co1 Co 0.000 0.500 0.500
C1 C 0.500 0.500 0.500
```

=====

# Pm2YSc

Pm2YSc after structural relaxation (PBE, the Alexandria database).

Properties
- Formation enthalpy at 0 K: 104 meV per atom
- Energy above the lowest structure with this stoichiometry: 0.25 eV per formula unit

```
data_Pm2YSc
_chemical_formula_sum 'Pm8 Y4 Sc4'
_space_group_name_H-M_alt 'F m -3 m'
_space_group_IT_number 225
_space_group_name_Hall '-F 4 2 3'
_cell_length_a 7.945
_cell_length_b 7.945
_cell_length_c 7.945
_cell_angle_alpha 90.00
_cell_angle_beta 90.00
_cell_angle_gamma 90.00
loop_
_atom_site_label
_atom_site_type_symbol
_atom_site_fract_x
_atom_site_fract_y
_atom_site_fract_z
Pm1 Pm 0.250 0.250 0.250
Y1 Y 0.000 0.000 0.000
Sc1 Sc 0.000 0.000 0.500
```

=====

# TbHo2Pt

TbHo2Pt after structural relaxation (PBE, the Alexandria database).

Properties
- Formation enthalpy at 0 K: -599 meV per atom
- Energy above the lowest structure with this stoichiometry: 0.49 eV per formula unit

```
data_TbHo2Pt
_chemical_formula_sum 'Tb1 Ho2 Pt1'
_space_group_name_H-M_alt 'P 4/m m m'
_space_group_IT_number 123
_space_group_name_Hall '-P 4 2'
_cell_length_a 3.559
_cell_length_b 3.559
_cell_length_c 8.399
_cell_angle_alpha 90.00
_cell_angle_beta 90.00
_cell_angle_gamma 90.00
loop_
_atom_site_label
_atom_site_type_symbol
_atom_site_fract_x
_atom_site_fract_y
_atom_site_fract_z
Tb1 Tb 0.000 0.000 0.000
Ho1 Ho 0.500 0.500 0.305
Pt1 Pt 0.000 0.000 0.500
```

=====

# NaPm2Pa

NaPm2Pa after structural relaxation (PBE, the Alexandria database).

Properties
- Formation enthalpy at 0 K: 217 meV per atom

```
data_NaPm2Pa
_chemical_formula_sum 'Na3 Pm6 Pa3'
_space_group_name_H-M_alt 'R -3 m'
_space_group_IT_number 166
_space_group_name_Hall '-R 3 2"'
_cell_length_a 3.4510
_cell_length_b 3.4510
_cell_length_c 37.7167
_cell_angle_alpha 90.00
_cell_angle_beta 90.00
_cell_angle_gamma 120.00
loop_
_atom_site_label
_atom_site_type_symbol
_atom_site_fract_x
_atom_site_fract_y
_atom_site_fract_z
Na1 Na 0.0000 0.0000 0.0000
Pm1 Pm 0.0000 0.0000 0.0935
Pa1 Pa 0.0000 0.0000 0.5000
```

=====

# Sr2HgBiTe5

Sr2HgBiTe5 after structural relaxation (PBE, the Alexandria database).

```
data_Sr2HgBiTe5
_chemical_formula_sum 'Sr8 Hg4 Bi4 Te20'
_space_group_name_H-M_alt 'C m c 21'
_space_group_IT_number 36
_space_group_name_Hall 'C 2c -2'
_cell_length_a 4.563
_cell_length_b 20.536
_cell_length_c 13.664
_cell_angle_alpha 90.00
_cell_angle_beta 90.00
_cell_angle_gamma 90.00
loop_
_atom_site_label
_atom_site_type_symbol
_atom_site_fract_x
_atom_site_fract_y
_atom_site_fract_z
Sr1 Sr 0.000 0.097 0.000
Sr2 Sr 0.000 0.119 0.644
Hg1 Hg 0.000 0.447 0.786
Bi1 Bi 0.000 0.227 0.353
Te1 Te 0.000 0.068 0.404
Te2 Te 0.000 0.264 0.020
Te3 Te 0.000 0.283 0.690
Te4 Te 0.000 0.373 0.328
Te5 Te 0.000 0.499 0.601
```

=====

# YMg2GaNi

YMg2GaNi after structural relaxation (PBE, the Alexandria database).

Properties
- Formation enthalpy at 0 K: -194 meV per atom

```
data_YMg2GaNi
_chemical_formula_sum 'Y1 Mg2 Ga1 Ni1'
_space_group_name_H-M_alt 'P 4/m m m'
_space_group_IT_number 123
_space_group_name_Hall '-P 4 2'
_cell_length_a 4.747
_cell_length_b 4.747
_cell_length_c 4.605
_cell_angle_alpha 90.00
_cell_angle_beta 90.00
_cell_angle_gamma 90.00
loop_
_atom_site_label
_atom_site_type_symbol
_atom_site_fract_x
_atom_site_fract_y
_atom_site_fract_z
Y1 Y 0.000 0.000 0.000
Mg1 Mg 0.000 0.500 0.500
Ga1 Ga 0.500 0.500 0.000
Ni1 Ni 0.500 0.500 0.500
```

=====

| no. | raw total energy (eV/atom) |
| --- | --- |
| 1 | -2.920 |
| 2 | -6.092 |
| 3 | -7.498 |
| 4 | -7.425 |
| 5 | -3.165 |
| 6 | -6.854 |
| 7 | -8.800 |
| 8 | -5.471 |
| 9 | -5.556 |
| 10 | -4.862 |
| 11 | -3.389 |
| 12 | -3.886 |